Here is crystalline Cs3V2Cl9 at its relaxed geometry from Alexandria via LeMat-Bulk. Energies are from GGA-PBE.

Lattice parameters (Å, degrees): 12.6897 12.6897 18.8548 90.00 90.00 120.00
Closest atoms and distances in Å follow each position.
Space group R-3c (No. 167, hexagonal axes)
Symmetry-distinct sites (fractional):
Cs (0.0000, 0.3437, 0.2500)  10 Cl 3.60-3.87
V (0.0000, 0.0000, 0.1678)  6 Cl 2.34-2.45
Cl (0.0000, 0.1499, 0.7500)  2 V 2.45
Cl (0.0026, 0.1575, 0.3982)  1 V 2.34

Properties
Its energy above the most stable polymorph in this dataset is 0.012 eV per atom.


Here is crystalline Th6Co2OsS3 at its relaxed geometry from Alexandria via LeMat-Bulk. Energies are from GGA-PBE.

Lattice parameters (Å, degrees): 18.1903 4.0354 8.4840 90.00 107.96 90.00
Closest atoms and distances in Å follow each position.
Space group C2/m (No. 12)
Symmetry-distinct sites (fractional):
Th (0.0084, 0.0000, 0.2407)  1 Co 2.78, 2 Os 2.84, 3 S 3.02-3.04
Th (0.1620, 0.5000, 0.1001)  1 Os 2.80, 2 Co 2.82, 3 S 3.00-3.06
Th (0.1751, 0.5000, 0.5671)  3 Co 2.70-2.79
Co (0.1690, 0.0000, 0.3360)  6 Th 2.70-2.82
Os (0.0000, 0.5000, 0.0000)  6 Th 2.80-2.84
S (0.0000, 0.5000, 0.5000)  6 Th 3.02-3.06
S (0.1662, 0.0000, 0.8311)  6 Th 3.00-3.06


Here is crystalline CaMg5Au6 at its relaxed geometry from Alexandria via LeMat-Bulk. Energies are from GGA-PBE.

Lattice parameters (Å, degrees): 4.7428 6.8243 7.4359 90.00 107.78 90.00
Closest atoms and distances in Å follow each position.
Space group P2/m (No. 10)
Symmetry-distinct sites (fractional):
Ca (0.0000, 0.0000, 0.0000)  8 Au 2.99-3.04
Mg (0.0000, 0.5000, 0.0000)  8 Au 2.86-2.94
Mg (0.3316, 0.0000, 0.6614)  8 Au 2.86-3.01
Mg (0.3351, 0.5000, 0.6735)  8 Au 2.81-2.88
Au (0.1744, 0.2621, 0.3468)  7 Mg 2.83-2.98, 1 Ca 3.04
Au (0.5000, 0.2667, 0.0000)  6 Mg 2.81-3.01, 2 Ca 2.99

Properties
The calculated formation energy comes out at -0.618 eV per atom.


Here is crystalline Tb2YCd4 at its relaxed geometry from Alexandria via LeMat-Bulk. Energies are from GGA-PBE.

Lattice parameters (Å, degrees): 5.6194 5.6194 15.6523 90.00 90.00 90.00
Closest atoms and distances in Å follow each position.
Space group I4/mmm (No. 139)
Symmetry-distinct sites (fractional):
Tb (0.0000, 0.0000, 0.1023)  5 Cd 3.16-3.23, 1 Tb 3.20
Y (0.0000, 0.0000, 0.5000)  6 Cd 2.81-3.07
Cd (0.0000, 0.0000, 0.3042)  1 Y 3.07, 1 Tb 3.16
Cd (0.0000, 0.5000, 0.0000)  2 Y 2.81

Properties
Its energy above the most stable polymorph in this dataset is 0.455 eV per atom. The calculated formation energy comes out at 0.291 eV per atom.


Calculated density / g cm⁻³: 3.11, 10.07, 9.73, 5.75
Total energy / eV per cell: -360.66, -189.14, -37.05, -34.69